Entry from the Alexandria database: crystalline YInRh at its relaxed geometry (PBE-GGA).

It has space group P-6m2 (No. 187), with a = 4.6980 Å, b = 4.6980 Å, c = 3.4158 Å, α = 90.00°, β = 90.00° and γ = 120.00°. The distinct sites, in fractional coordinates, are Y at (0.0000, 0.0000, 0.0000), In at (0.6667, 0.3333, 0.5000) and Rh at (0.3333, 0.6667, 0.5000).

The calculation puts the density at 7.8 g cm⁻³. The total energy is -18.24 eV for the cell shown. For the energy relative to the elements, the calculation gives -562 meV/atom. The crystal system is hexagonal. For the calculated volume, the calculation gives 21.76 Å³ per atom.